Computed, not measured: Hf3TlAs after structural relaxation at the PBE level of DFT.

Cell: 4.9642 4.9642 4.9642 Å, 90.00 90.00 90.00°
Last column: nearest neighbours and their distance in Å.
Space group Pm-3m (No. 221)
Asymmetric unit:
Hf: 0.0000 0.0000 0.5000 [3 per cell]  2 As 2.48
Tl: 0.5000 0.5000 0.5000 [1 per cell]  12 Hf 3.51
As: 0.0000 0.0000 0.0000 [1 per cell]  6 Hf 2.48

Results
Total magnetic moment (μB/f.u.): 0.00
Uncorrected energy (eV per atom): -7.1898
Energy relative to the lowest polymorph listed for this composition (meV/atom): 0



Computed, not measured: Hf2TlAs after structural relaxation at the PBE level of DFT.

Cell: 5.8917 5.8917 13.8319 Å, 90.00 90.00 90.00°
Last column: nearest neighbours and their distance in Å.
Space group I-42d (No. 122)
Asymmetric unit:
Hf: 0.2184 0.2500 0.1250 [8 per cell]  2 As 2.61, 2 Tl 2.81
Tl: 0.0000 0.0000 0.5000 [4 per cell]  4 Hf 2.81
As: 0.0000 0.0000 0.0000 [4 per cell]  4 Hf 2.61

Results
Total magnetic moment (μB/f.u.): 0.00
Uncorrected energy (eV per atom): -6.2447
Energy relative to the lowest polymorph listed for this composition (meV/atom): 878



Computed, not measured: Hf3TlAs after structural relaxation at the PBE level of DFT.

Cell: 5.2515 5.2515 5.2515 Å, 90.00 90.00 90.00°
Last column: nearest neighbours and their distance in Å.
Space group Pm-3m (No. 221)
Asymmetric unit:
Hf: 0.0000 0.0000 0.5000 [3 per cell]  2 Tl 2.63
Tl: 0.0000 0.0000 0.0000 [1 per cell]  6 Hf 2.63
As: 0.5000 0.5000 0.5000 [1 per cell]  12 Hf 3.71

Results
Total magnetic moment (μB/f.u.): 0.02
Uncorrected energy (eV per atom): -5.9916
Energy relative to the lowest polymorph listed for this composition (meV/atom): 1198



Computed, not measured: Hf2TlAs2 after structural relaxation at the PBE level of DFT.

Cell: 7.6672 7.6672 3.5315 Å, 90.00 90.00 90.00°
Last column: nearest neighbours and their distance in Å.
Space group P4/mbm (No. 127)
Asymmetric unit:
Hf: 0.1456 0.3544 0.0000 [4 per cell]  6 As 2.85-2.87, 2 Tl 2.94, 1 Hf 3.16
Tl: 0.0000 0.0000 0.0000 [2 per cell]  4 Hf 2.94
As: 0.1455 0.6455 0.5000 [4 per cell]  6 Hf 2.85-2.87, 1 As 3.16

Results
Total magnetic moment (μB/f.u.): 0.00
Uncorrected energy (eV per atom): -6.7880
Energy relative to the lowest polymorph listed for this composition (meV/atom): 0



Computed, not measured: Hf2TlAs after structural relaxation at the PBE level of DFT.

Cell: 6.9105 6.9105 6.9105 Å, 90.00 90.00 90.00°
Last column: nearest neighbours and their distance in Å.
Space group Fm-3m (No. 225)
Asymmetric unit:
Hf: 0.2500 0.2500 0.2500 [8 per cell]  4 As 2.99, 4 Tl 2.99
Tl: 0.0000 0.0000 0.0000 [4 per cell]  8 Hf 2.99
As: 0.0000 0.0000 0.5000 [4 per cell]  8 Hf 2.99

Results
Total magnetic moment (μB/f.u.): 0.00
Uncorrected energy (eV per atom): -6.7904
Energy relative to the lowest polymorph listed for this composition (meV/atom): 332



Computed, not measured: Hf2TlAs2 after structural relaxation at the PBE level of DFT.

Cell: 7.8239 7.8239 3.4275 Å, 90.00 90.00 90.00°
Last column: nearest neighbours and their distance in Å.
Space group P4/mbm (No. 127)
Asymmetric unit:
Hf: 0.1419 0.3581 0.0000 [4 per cell]  6 As 2.81-2.94, 1 Hf 3.14
Tl: 0.0000 0.0000 0.5000 [2 per cell]  4 As 3.01
As: 0.1427 0.6427 0.5000 [4 per cell]  6 Hf 2.81-2.94, 2 Tl 3.01

Results
Total magnetic moment (μB/f.u.): 0.00
Uncorrected energy (eV per atom): -6.6982
Energy relative to the lowest polymorph listed for this composition (meV/atom): 90



Computed, not measured: HfTl2As2 after structural relaxation at the PBE level of DFT.

Cell: 6.9992 6.9992 5.0331 Å, 90.00 90.00 90.00°
Last column: nearest neighbours and their distance in Å.
Space group P4/mbm (No. 127)
Asymmetric unit:
Hf: 0.0000 0.0000 0.0000 [2 per cell]  4 As 2.73
Tl: 0.1895 0.3105 0.5000 [4 per cell]  6 As 3.06-3.41
As: 0.1341 0.6341 0.0000 [4 per cell]  1 As 2.65, 2 Hf 2.73

Results
Total magnetic moment (μB/f.u.): 0.00
Uncorrected energy (eV per atom): -4.8469



Computed, not measured: Tm5Hf3As8 after structural relaxation at the PBE level of DFT.

Cell: 7.9132 7.9132 19.4936 Å, 90.00 90.00 120.00°
Last column: nearest neighbours and their distance in Å.
Space group R-3m (No. 166, hexagonal axes)
Asymmetric unit:
Tm: 0.0000 0.0000 0.0000 [3 per cell]  6 As 2.80
Tm: 0.0000 0.0000 0.5000 [3 per cell]  6 As 2.80
Tm: 0.0000 0.5000 0.0000 [9 per cell]  6 As 2.85-2.86
Hf: 0.0000 0.5000 0.5000 [9 per cell]  6 As 2.75
As: 0.0000 0.0000 0.2456 [6 per cell]  3 Hf 2.75, 3 Tm 2.85
As: 0.0062 0.5031 0.7531 [18 per cell]  2 Hf 2.75, 4 Tm 2.80-2.86

Results
Total magnetic moment (μB/f.u.): 0.00
Uncorrected energy (eV per atom): -6.8926



Computed, not measured: TmHf2As4 after structural relaxation at the PBE level of DFT.

Cell: 3.8307 12.6757 12.9617 Å, 90.00 90.00 90.00°
Last column: nearest neighbours and their distance in Å.
Space group Cmcm (No. 63)
Asymmetric unit:
Tm: 0.0000 0.1126 0.2500 [4 per cell]  6 As 2.87-2.92
Hf: 0.0000 0.3654 0.0608 [8 per cell]  6 As 2.65-2.73
As: 0.0000 0.0000 0.0000 [4 per cell]  4 Hf 2.68
As: 0.0000 0.2675 0.6267 [8 per cell]  3 Hf 2.69-2.73, 2 Tm 2.92
As: 0.0000 0.4444 0.2500 [4 per cell]  2 Hf 2.65, 2 Tm 2.87

Results
Total magnetic moment (μB/f.u.): 0.00
Uncorrected energy (eV per atom): -7.0189



Computed, not measured: Tm4HfAs5 after structural relaxation at the PBE level of DFT.

Cell: 8.9515 8.9515 5.6710 Å, 90.00 90.00 90.00°
Last column: nearest neighbours and their distance in Å.
Space group I4/m (No. 87)
Asymmetric unit:
Tm: 0.0969 0.6991 0.0000 [8 per cell]  6 As 2.83-2.88
Hf: 0.0000 0.0000 0.5000 [2 per cell]  6 As 2.75-2.84
As: 0.0000 0.0000 0.0000 [2 per cell]  4 Tm 2.83, 2 Hf 2.84
As: 0.0980 0.7084 0.5000 [8 per cell]  1 Hf 2.75, 5 Tm 2.84-2.88

Results
Total magnetic moment (μB/f.u.): 0.00
Uncorrected energy (eV per atom): -6.5098



Computed, not measured: Tm2HfZrAs4 after structural relaxation at the PBE level of DFT.

Cell: 6.8120 3.9279 6.8870 Å, 90.00 109.31 90.00°
Last column: nearest neighbours and their distance in Å.
Space group P2/m (No. 10)
Asymmetric unit:
Tm: 0.0000 0.0000 0.0000 [1 per cell]  6 As 2.82-2.83
Tm: 0.5000 0.5000 0.0000 [1 per cell]  6 As 2.84
Hf: 0.0000 0.5000 0.5000 [1 per cell]  6 As 2.74
Zr: 0.5000 0.0000 0.5000 [1 per cell]  6 As 2.76
As: 0.2439 0.0000 0.7384 [2 per cell]  2 Hf 2.74, 1 Zr 2.76, 3 Tm 2.83-2.84
As: 0.2511 0.5000 0.2599 [2 per cell]  1 Hf 2.74, 2 Zr 2.76, 3 Tm 2.82-2.84

Results
Total magnetic moment (μB/f.u.): 0.00
Uncorrected energy (eV per atom): -7.0243



Computed, not measured: HfU3As4 after structural relaxation at the PBE level of DFT.

Cell: 8.1434 11.3481 3.9655 Å, 90.00 90.00 90.00°
Last column: nearest neighbours and their distance in Å.
Space group Cmmm (No. 65)
Asymmetric unit:
Hf: 0.0000 0.0000 0.0000 [2 per cell]  6 As 2.75-2.77
U: 0.0000 0.5000 0.0000 [2 per cell]  6 As 2.92
U: 0.2500 0.2500 0.5000 [4 per cell]  6 As 2.84
As: 0.0000 0.2427 0.0000 [4 per cell]  1 Hf 2.75, 5 U 2.84-2.92
As: 0.2374 0.0000 0.5000 [4 per cell]  2 Hf 2.77, 4 U 2.84-2.92

Results
Total magnetic moment (μB/f.u.): 7.18
Uncorrected energy (eV per atom): -8.6090



Computed, not measured: Hf2UAs4 after structural relaxation at the PBE level of DFT.

Cell: 3.8531 12.4989 12.9212 Å, 90.00 90.00 90.00°
Last column: nearest neighbours and their distance in Å.
Space group Cmcm (No. 63)
Asymmetric unit:
Hf: 0.0000 0.1344 0.0598 [8 per cell]  6 As 2.65-2.71
U: 0.0000 0.3879 0.2500 [4 per cell]  6 As 2.84-2.89
As: 0.0000 0.0548 0.2500 [4 per cell]  2 Hf 2.65, 2 U 2.84
As: 0.0000 0.2304 0.6284 [8 per cell]  3 Hf 2.71, 2 U 2.89
As: 0.0000 0.5000 0.0000 [4 per cell]  4 Hf 2.67

Results
Total magnetic moment (μB/f.u.): 1.70
Uncorrected energy (eV per atom): -7.8791



Computed, not measured: Hf2UAs3 after structural relaxation at the PBE level of DFT.

Cell: 3.8462 3.8462 19.8235 Å, 90.00 90.00 120.00°
Last column: nearest neighbours and their distance in Å.
Space group P6_3/mmc (No. 194)
Asymmetric unit:
Hf: 0.3333 0.6667 0.0791 [4 per cell]  6 As 2.71-2.72
U: 0.0000 0.0000 0.2500 [2 per cell]  6 As 2.88
As: 0.0000 0.0000 0.0000 [2 per cell]  6 Hf 2.72
As: 0.3333 0.6667 0.6571 [4 per cell]  3 Hf 2.71, 3 U 2.88

Results
Total magnetic moment (μB/f.u.): 2.86
Uncorrected energy (eV per atom): -8.4162



Computed, not measured: Hf3U5As12 after structural relaxation at the PBE level of DFT.

Cell: 16.1592 16.1592 16.1592 Å, 90.00 90.00 90.00°
Last column: nearest neighbours and their distance in Å.
Space group Ia-3d (No. 230)
Asymmetric unit:
Hf: 0.0000 0.2500 0.1250 [24 per cell]  4 As 2.72
U: 0.0000 0.0000 0.0000 [16 per cell]  6 As 2.88
U: 0.0000 0.2500 0.3750 [24 per cell]  4 As 2.70
As: 0.0170 0.0851 0.6555 [96 per cell]  2 U 2.70-2.88, 1 Hf 2.72, 1 As 2.86

Results
Total magnetic moment (μB/f.u.): 2.29
Uncorrected energy (eV per atom): -7.2379



Computed, not measured: HfU2As3 after structural relaxation at the PBE level of DFT.

Cell: 4.0092 4.0092 16.8466 Å, 90.00 90.00 90.00°
Last column: nearest neighbours and their distance in Å.
Space group I4/mmm (No. 139)
Asymmetric unit:
Hf: 0.0000 0.0000 0.0000 [2 per cell]  6 As 2.71-2.83
U: 0.0000 0.0000 0.3328 [4 per cell]  6 As 2.82-2.89
As: 0.0000 0.0000 0.1611 [4 per cell]  1 Hf 2.71, 5 U 2.84-2.89
As: 0.0000 0.0000 0.5000 [2 per cell]  2 U 2.82, 4 Hf 2.83

Results
Total magnetic moment (μB/f.u.): 4.75
Uncorrected energy (eV per atom): -8.5372



Computed, not measured: HfU4As5 after structural relaxation at the PBE level of DFT.

Cell: 3.9717 5.7042 20.4738 Å, 90.00 90.00 90.00°
Last column: nearest neighbours and their distance in Å.
Space group Immm (No. 71)
Asymmetric unit:
Hf: 0.0000 0.0000 0.0000 [2 per cell]  6 As 2.75-2.85
U: 0.0000 0.0000 0.1961 [4 per cell]  6 As 2.85-2.90
U: 0.0000 0.0000 0.4004 [4 per cell]  6 As 2.85-2.88
As: 0.0000 0.5000 0.0000 [2 per cell]  4 U 2.85, 2 Hf 2.85
As: 0.0000 0.5000 0.2015 [4 per cell]  6 U 2.85-2.89
As: 0.0000 0.5000 0.4069 [4 per cell]  2 Hf 2.75, 4 U 2.86-2.90

Results
Total magnetic moment (μB/f.u.): 9.91
Uncorrected energy (eV per atom): -8.6060



Computed, not measured: Y2HfUAs4 after structural relaxation at the PBE level of DFT.

Cell: 6.9668 4.0196 7.0156 Å, 90.00 109.06 90.00°
Last column: nearest neighbours and their distance in Å.
Space group P2/m (No. 10)
Asymmetric unit:
Y: 0.0000 0.0000 0.0000 [1 per cell]  6 As 2.86-2.87
Y: 0.5000 0.5000 0.0000 [1 per cell]  6 As 2.92-2.93
Hf: 0.0000 0.5000 0.5000 [1 per cell]  6 As 2.77-2.78
U: 0.5000 0.0000 0.5000 [1 per cell]  6 As 2.83-2.85
As: 0.2385 0.0000 0.7354 [2 per cell]  2 Hf 2.78, 1 U 2.83, 3 Y 2.87-2.93
As: 0.2445 0.5000 0.2577 [2 per cell]  1 Hf 2.77, 2 U 2.85, 3 Y 2.86-2.92

Results
Total magnetic moment (μB/f.u.): 2.56
Uncorrected energy (eV per atom): -7.7894



Computed, not measured: YHfU2As4 after structural relaxation at the PBE level of DFT.

Cell: 6.9182 3.9927 7.0562 Å, 90.00 109.00 90.00°
Last column: nearest neighbours and their distance in Å.
Space group P2/m (No. 10)
Asymmetric unit:
Y: 0.0000 0.0000 0.0000 [1 per cell]  6 As 2.85
Hf: 0.5000 0.5000 0.0000 [1 per cell]  6 As 2.77-2.78
U: 0.0000 0.5000 0.5000 [1 per cell]  6 As 2.92
U: 0.5000 0.0000 0.5000 [1 per cell]  6 As 2.85
As: 0.2570 0.5000 0.2439 [2 per cell]  1 Hf 2.77, 3 U 2.85-2.92, 2 Y 2.85
As: 0.2624 0.0000 0.7619 [2 per cell]  2 Hf 2.78, 3 U 2.85-2.92, 1 Y 2.85

Results
Total magnetic moment (μB/f.u.): 4.85
Uncorrected energy (eV per atom): -8.2071



Computed, not measured: HfZrU2As4 after structural relaxation at the PBE level of DFT.

Cell: 6.8177 3.9278 6.9389 Å, 90.00 109.02 90.00°
Last column: nearest neighbours and their distance in Å.
Space group P2/m (No. 10)
Asymmetric unit:
Hf: 0.0000 0.0000 0.0000 [1 per cell]  6 As 2.74
Zr: 0.5000 0.5000 0.0000 [1 per cell]  6 As 2.75
U: 0.0000 0.5000 0.5000 [1 per cell]  6 As 2.85
U: 0.5000 0.0000 0.5000 [1 per cell]  6 As 2.87
As: 0.2426 0.5000 0.2341 [2 per cell]  2 Hf 2.74, 1 Zr 2.75, 3 U 2.85-2.87
As: 0.2527 0.0000 0.7642 [2 per cell]  1 Hf 2.74, 2 Zr 2.75, 3 U 2.85-2.87

Results
Total magnetic moment (μB/f.u.): 4.64
Uncorrected energy (eV per atom): -8.3951



So what do the calculations give for ΔH_f (0 K)? Going down the list: 185.4; 486.0; 1383.6; -473.5; -59.7; -383.8; -49.9; -1304.3; -879.4; -1401.1; -1269.0; -806.9; -765.8; -892.3; -133.1; -790.8; -770.6; -1193.4; -1008.1; -935.6 meV per atom.